# AgMoH2

A relaxed AgMoH2 crystal (PBE, the Alexandria database).

**Crystal system**: cubic
**Energy**: -67.86 eV for the cell shown

abc: 5.458 5.458 5.458
angles: 90.00 90.00 90.00
Space group Fm-3m (No. 225)
Asymmetric unit:
Ag 0.000 0.000 0.000 x4
Mo 0.000 0.000 0.500 x4
H 0.250 0.250 0.250 x8

=====

# BaCaLa

A relaxed BaCaLa crystal (PBE, the Alexandria database).

**Crystal system**: triclinic
**E_form**: 0.145 eV per atom

abc: 6.320 7.355 7.627
angles: 61.62 65.53 64.56
Space group P-1 (No. 2)
Asymmetric unit:
Ba 0.174 0.258 0.395 x2
Ca 0.155 0.775 0.913 x2
La 0.482 0.259 0.778 x2

=====

# Mn2VHIr

A relaxed Mn2VHIr crystal (PBE, the Alexandria database).

**Crystal system**: tetragonal
**Energy**: -40.72 eV for the cell shown

abc: 3.706 3.706 3.806
angles: 90.00 90.00 90.00
Space group P4/mmm (No. 123)
Asymmetric unit:
Mn 0.000 0.500 0.000 x2
V 0.000 0.000 0.500 x1
H 0.000 0.000 0.000 x1
Ir 0.500 0.500 0.500 x1

=====

# Sm3TcC2

A relaxed Sm3TcC2 crystal (PBE, the Alexandria database).

**Crystal system**: orthorhombic
**E_form**: 0.108 eV per atom

abc: 5.953 11.636 6.821
angles: 90.00 90.00 90.00
Space group Ibam (No. 72)
Asymmetric unit:
Sm 0.000 0.000 0.250 x4
Sm 0.000 0.297 0.250 x8
Tc 0.000 0.500 0.000 x4
C 0.236 0.116 0.000 x8

=====

# CrAgC3

A relaxed CrAgC3 crystal (PBE, the Alexandria database).

**Crystal system**: cubic
**E_form**: 3.530 eV per atom

abc: 4.032 4.032 4.032
angles: 90.00 90.00 90.00
Space group Pm-3m (No. 221)
Asymmetric unit:
Cr 0.000 0.000 0.000 x1
Ag 0.500 0.500 0.500 x1
C 0.000 0.500 0.500 x3

=====

# Ba3AcAl8

A relaxed Ba3AcAl8 crystal (PBE, the Alexandria database).

**Crystal system**: trigonal
**E_form**: -0.236 eV per atom

abc: 6.0050 6.0050 29.3640
angles: 90.00 90.00 120.00
Space group R3m (No. 160, hexagonal axes)
Asymmetric unit:
Ba 0.0000 0.0000 0.0000 x3
Ba 0.0000 0.0000 0.1234 x3
Ba 0.0000 0.0000 0.6256 x3
Ac 0.0000 0.0000 0.5004 x3
Al 0.0000 0.0000 0.3130 x3
Al 0.0000 0.0000 0.8119 x3
Al 0.0022 0.5011 0.0636 x9
Al 0.1673 0.3347 0.8944 x9

=====

# Mg2MnOs

A relaxed Mg2MnOs crystal (PBE, the Alexandria database).

**Crystal system**: monoclinic
**E_form**: 0.237 eV per atom

abc: 2.756 4.312 5.474
angles: 90.00 102.50 90.00
Space group Pm (No. 6)
Asymmetric unit:
Mg 0.000 0.000 0.000 x1
Mg 0.283 0.500 0.723 x1
Mn 0.747 0.500 0.264 x1
Os 0.570 0.000 0.472 x1

=====

# MnZnMoRu

A relaxed MnZnMoRu crystal (PBE, the Alexandria database).

**Crystal system**: cubic
**E_form**: 0.058 eV per atom

abc: 6.034 6.034 6.034
angles: 90.00 90.00 90.00
Space group F-43m (No. 216)
Asymmetric unit:
Mn 0.000 0.000 0.000 x4
Zn 0.250 0.250 0.750 x4
Mo 0.250 0.250 0.250 x4
Ru 0.000 0.000 0.500 x4